Density functional theory data (PBE) for crystalline Na2In2Cu at its relaxed geometry.

space group	P4/mbm (127)

The structure in POSCAR format:
```
Na2In2Cu
1.0
-4.043 0.888 5.549
5.094 -2.308 4.081
1.861 5.071 0.545
Na Cu In
4 2 4
Cartesian
3.658 1.138 3.964
2.437 1.219 7.380
-0.746 2.513 6.211
0.476 2.431 2.795
0.000 0.000 0.000
0.525 -0.710 4.815
2.913 -1.649 5.393
-0.109 -0.752 7.367
-1.862 0.228 4.237
1.159 -0.669 2.263
```

***

Density functional theory data (PBE) for crystalline HoLuAlPb at its relaxed geometry.

space group	F-43m (216)

The structure in POSCAR format:
```
HoLuAlPb
1.0
5.243 0.000 0.000
2.622 4.541 0.000
2.622 1.514 4.281
Pb Lu Ho Al
1 1 1 1
Cartesian
2.622 1.514 1.070
5.243 3.027 2.141
0.000 0.000 0.000
7.865 4.541 3.211
```

***

Total DFT energy (no corrections): -0.089, -0.163 (hartree per atom)